[1]
VASP calculation (PBE) on a relaxed Rb3Ca2CdF9 crystal.

Properties
Crystal system = trigonal
Formation energy without anion corrections = -3.131 eV per atom
Density of states at the Fermi level = 0.000 states/eV/atom

Cell: 6.3723 6.3723 7.8110 Å, 90.00 90.00 120.00°
Closest atoms and distances in Å follow each position.
Element x y z (fractional)
Rb1 0.3333 0.6667 0.6618  12 F 3.15-3.22
Rb2 0.0000 0.0000 0.0000  12 F 3.19
Rb3 0.6667 0.3333 0.3382  12 F 3.15-3.22
Ca1 0.3333 0.6667 0.1653  6 F 2.25-2.26
Ca2 0.6667 0.3333 0.8347  6 F 2.25-2.26
Cd1 0.0000 0.0000 0.5000  6 F 2.26
F1 0.8330 0.1670 0.6664  1 Cd 2.26, 1 Ca 2.26
F2 0.8330 0.6660 0.6664  1 Cd 2.26, 1 Ca 2.26
F3 0.3340 0.1670 0.6664  1 Cd 2.26, 1 Ca 2.26
F4 0.6660 0.8330 0.3336  1 Cd 2.26, 1 Ca 2.26
F5 0.1670 0.3340 0.3336  1 Cd 2.26, 1 Ca 2.26
F6 0.1670 0.8330 0.3336  1 Cd 2.26, 1 Ca 2.26
F7 0.5000 0.0000 0.0000  2 Ca 2.25
F8 0.0000 0.5000 0.0000  2 Ca 2.25
F9 0.5000 0.5000 0.0000  2 Ca 2.25

=====

[2]
VASP calculation (PBE) on a relaxed RbCaCdF6 crystal.

Properties
Crystal system = orthorhombic
Formation energy without anion corrections = -2.627 eV per atom
Density of states at the Fermi level = 0.687 states/eV/atom

Cell: 7.5545 7.9787 7.6552 Å, 121.41 119.57 90.00°
Closest atoms and distances in Å follow each position.
Element x y z (fractional)
Rb1 0.8616 0.6116 0.7233  5 F 2.89-2.91
Rb2 0.1384 0.3884 0.2767  5 F 2.89-2.91
Ca1 0.5000 0.0000 0.5000  8 F 2.25-2.52
Ca2 0.0000 0.0000 0.5000  8 F 2.25-2.52
Cd1 0.5000 0.5000 0.0000  6 F 2.13-2.25
Cd2 0.5000 0.0000 0.0000  6 F 2.13-2.25
F1 0.5978 0.8478 0.1957  2 Cd 2.25, 2 Ca 2.49
F2 0.8651 0.1151 0.7302  2 Ca 2.25
F3 0.8399 0.1657 0.2806  1 Cd 2.13
F4 0.4408 0.6149 0.2806  1 Cd 2.13
F5 0.4408 0.1657 0.2806  1 Cd 2.13
F6 0.8399 0.6149 0.2806  1 Cd 2.13
F7 0.4022 0.1522 0.8043  2 Cd 2.25, 2 Ca 2.49
F8 0.1349 0.8849 0.2698  2 Ca 2.25
F9 0.1601 0.8343 0.7194  1 Cd 2.13
F10 0.5592 0.3851 0.7194  1 Cd 2.13
F11 0.5592 0.8343 0.7194  1 Cd 2.13
F12 0.1601 0.3851 0.7194  1 Cd 2.13

=====

[3]
VASP calculation (PBE) on a relaxed Rb2CaCdF6 crystal.

Properties
Crystal system = cubic
Formation energy without anion corrections = -2.964 eV per atom
Density of states at the Fermi level = 0.000 states/eV/atom

Cell: 6.3691 6.3691 6.3697 Å, 60.00 60.00 90.00°
Closest atoms and distances in Å follow each position.
Element x y z (fractional)
Ca1 0.5000 0.5000 0.0000  6 F 2.25
F1 0.2504 0.2504 0.4992  1 Ca 2.25, 1 Cd 2.26
F2 0.7496 0.7496 0.5008  1 Ca 2.25, 1 Cd 2.26
F3 0.2504 0.2504 0.0000  1 Ca 2.25, 1 Cd 2.26
F4 0.7496 0.7496 0.0000  1 Ca 2.25, 1 Cd 2.26
F5 0.7496 0.2504 0.0000  1 Ca 2.25, 1 Cd 2.26
F6 0.2504 0.7496 0.0000  1 Ca 2.25, 1 Cd 2.26
Rb1 0.7500 0.2500 0.5000  12 F 3.18
Rb2 0.2500 0.7500 0.5000  12 F 3.18
Cd1 0.0000 0.0000 0.0000  6 F 2.26

=====

[4]
VASP calculation (PBE) on a relaxed Rb4CaCd3F12 crystal.

Properties
Crystal system = cubic
Formation energy without anion corrections = -2.710 eV per atom
Density of states at the Fermi level = 0.000 states/eV/atom

Cell: 7.7971 7.7971 7.7971 Å, 109.47 109.47 109.47°
Closest atoms and distances in Å follow each position.
Element x y z (fractional)
Rb1 0.5000 0.5000 0.5000  12 F 3.18
Rb2 0.0000 0.0000 0.5000  12 F 3.18
Rb3 0.5000 0.0000 0.0000  12 F 3.18
Rb4 0.0000 0.5000 0.0000  12 F 3.18
Ca1 0.0000 0.0000 0.0000  6 F 2.25
Cd1 0.5000 0.0000 0.5000  6 F 2.25
Cd2 0.5000 0.5000 0.0000  6 F 2.25
Cd3 0.0000 0.5000 0.5000  6 F 2.25
F1 0.2500 0.5000 0.7500  2 Cd 2.25
F2 0.7501 0.0000 0.7501  1 Ca 2.25, 1 Cd 2.25
F3 0.2499 0.0000 0.2499  1 Ca 2.25, 1 Cd 2.25
F4 0.7500 0.5000 0.2500  2 Cd 2.25
F5 0.7501 0.7501 0.0000  1 Ca 2.25, 1 Cd 2.25
F6 0.2499 0.2499 0.0000  1 Ca 2.25, 1 Cd 2.25
F7 0.7500 0.2500 0.5000  2 Cd 2.25
F8 0.2500 0.7500 0.5000  2 Cd 2.25
F9 0.5000 0.2500 0.7500  2 Cd 2.25
F10 0.0000 0.7501 0.7501  1 Ca 2.25, 1 Cd 2.25
F11 0.5000 0.7500 0.2500  2 Cd 2.25
F12 0.0000 0.2499 0.2499  1 Ca 2.25, 1 Cd 2.25

=====

[5]
VASP calculation (PBE) on a relaxed RbCa2CdF8 crystal.

Properties
Crystal system = orthorhombic
Formation energy without anion corrections = -2.933 eV per atom
Density of states at the Fermi level = 0.417 states/eV/atom

Cell: 3.8794 5.7076 8.4955 Å, 90.00 90.00 89.99°
Closest atoms and distances in Å follow each position.
Element x y z (fractional)
Rb1 0.0000 0.0000 0.5000  8 F 2.71-2.78
Ca1 0.5000 0.5000 0.7822  8 F 2.34-2.58
Ca2 0.5000 0.5000 0.2178  8 F 2.34-2.58
Cd1 0.0000 0.0000 0.0000  8 F 2.40-2.41
F1 0.0000 0.7389 0.2235  2 Ca 2.37, 1 Cd 2.41
F2 0.5000 0.7514 0.0000  2 Ca 2.34, 2 Cd 2.40
F3 0.0000 0.2611 0.2235  2 Ca 2.37, 1 Cd 2.41
F4 0.0000 0.2611 0.7765  2 Ca 2.37, 1 Cd 2.41
F5 0.5000 0.2486 0.0000  2 Ca 2.34, 2 Cd 2.40
F6 0.0000 0.7389 0.7765  2 Ca 2.37, 1 Cd 2.41
F7 0.5003 0.6689 0.5000  1 F 1.93
F8 0.4997 0.3311 0.5000  1 F 1.93

=====

[6]
VASP calculation (PBE) on a relaxed RbCaCd2F8 crystal.

Properties
Crystal system = triclinic
Formation energy without anion corrections = -2.517 eV per atom
Density of states at the Fermi level = 0.006 states/eV/atom

Cell: 3.7572 5.6479 9.2034 Å, 88.06 89.97 89.85°
Closest atoms and distances in Å follow each position.
Element x y z (fractional)
Rb1 0.0000 0.0000 0.5000  8 F 2.80-2.99
Ca1 0.0000 0.0000 0.0000  8 F 2.34-2.53
Cd1 0.5002 0.5114 0.7971  7 F 2.28-2.39
Cd2 0.4998 0.4886 0.2029  7 F 2.28-2.39
F1 0.9995 0.7304 0.2255  2 Cd 2.33-2.34, 1 Ca 2.53
F2 0.5005 0.7522 0.0050  2 Cd 2.31-2.39, 2 Ca 2.34
F3 0.9998 0.2394 0.2089  2 Cd 2.34-2.35, 1 Ca 2.39
F4 0.0005 0.2696 0.7745  2 Cd 2.33-2.34, 1 Ca 2.53
F5 0.4995 0.2478 0.9950  2 Cd 2.31-2.39, 2 Ca 2.34
F6 0.0002 0.7606 0.7911  2 Cd 2.34-2.35, 1 Ca 2.39
F7 0.5035 0.6406 0.5596  1 F 1.96
F8 0.4965 0.3594 0.4404  1 F 1.96